(1)
CsTl8Hg2, optimized geometry, DFT PBE; E = -20.63 eV for the cell shown; magnetic moment = 0.000 Bohr magnetons per cell; polymorph energy (0 for the lowest one) = 0 meV/atom; space group = C2/m (12); Fermi-level density of states = 0.61 states/eV/atom; E_form = -0.022 eV/atom
1.0
7.4243 0.1406 -0.0923
-0.1631 6.5824 -3.0881
0.6948 -0.3100 7.8663
Tl Hg Cs
8 2 1
Cartesian
3.8203 5.8727 -0.9211
4.0467 4.1327 3.9217
3.9093 2.2803 0.7642
6.2446 4.7905 1.3177
6.4273 3.0273 6.1135
1.5287 3.3857 -1.4276
1.7113 1.6225 3.3682
4.1357 0.5403 5.6070
1.9069 4.7427 1.4449
6.0491 1.6703 3.2409
0.0000 0.0000 0.0000


(2)
Cs2Tl2Hg15, optimized geometry, DFT PBE; E = -13.21 eV for the cell shown; magnetic moment = 0.000 Bohr magnetons per cell; space group = R-3m (166); Fermi-level density of states = 0.36 states/eV/atom; E_form = -0.118 eV/atom
1.0
-0.8869 -6.5486 5.4718
8.1955 -1.7798 1.8105
0.9448 3.9877 7.5377
Hg Tl Cs
15 2 2
Cartesian
0.4724 1.9938 3.7689
5.6447 0.3937 6.7497
6.0776 -0.0952 3.4834
3.4867 0.3158 9.0606
0.4098 0.9101 6.9343
3.0626 2.3031 5.8649
1.7659 -5.1557 4.4024
1.2913 -1.8921 8.5046
2.6087 -4.7345 8.0704
4.7667 -4.6565 5.7594
-0.4435 -3.2743 2.7359
5.5426 -3.1727 2.8799
6.9621 -2.4487 6.3154
4.0977 -0.8899 0.9053
-0.3519 -3.4711 6.0752
7.4446 -3.9154 13.3677
0.8088 -0.4254 1.4523
2.7392 -1.4407 4.9186
5.5141 -2.9001 9.9014


Q: Which of these has the highest E?
A: Cs2Tl2Hg15


Q: E of number 2 (Cs2Tl2Hg15)?
A: -13.21 eV for the cell shown


Q: E of number 1 (CsTl8Hg2)?
A: -20.63 eV for the cell shown


Q: The highest E_form belongs to which entry?
A: CsTl8Hg2